Record 1
! PBE ZnOsBr, optimized geometry; values from VASP
&SYSTEM
  ibrav = 0, nat = 3, ntyp = 3
/
ATOMIC_SPECIES
Zn 65.41 Zn.upf
Br 79.90 Br.upf
Os 190.23 Os.upf
CELL_PARAMETERS angstrom
-0.3718 3.4457 2.6885
-3.2821 0.1712 2.9047
0.8344 -0.4589 4.2816
ATOMIC_POSITIONS crystal
Zn 0.7500 0.7500 0.7500
Br 0.0000 0.0000 0.0000
Os 0.5000 0.5000 0.5000
! **Calculated total energy**: -3.152 eV/atom
! **Energy relative to the elements, uncorrected**: 4.7 eV per formula unit
! **Energy relative to the lowest polymorph listed for this composition**: 802 meV/atom
! **Fermi-level density of states**: 3.37 states/eV/f.u.



Record 2
! PBE ZnOsBr, optimized geometry; values from VASP
&SYSTEM
  ibrav = 0, nat = 3, ntyp = 3
/
ATOMIC_SPECIES
Zn 65.41 Zn.upf
Os 190.23 Os.upf
Br 79.90 Br.upf
CELL_PARAMETERS angstrom
7.3083 0.0206 -0.0120
6.2833 2.9375 -0.0173
1.0250 -1.4531 2.5291
ATOMIC_POSITIONS crystal
Zn 0.3210 0.3210 0.6790
Os 0.6670 0.6670 0.3330
Br 0.0120 0.0120 0.9880
! **Calculated total energy**: -3.885 eV/atom
! **Energy relative to the elements, uncorrected**: 2.5 eV per formula unit
! **Energy relative to the lowest polymorph listed for this composition**: 69 meV/atom
! **Fermi-level density of states**: 3.14 states/eV/f.u.



Record 3
! PBE ZrOsBr, optimized geometry; values from VASP
&SYSTEM
  ibrav = 0, nat = 3, ntyp = 3
/
ATOMIC_SPECIES
Os 190.23 Os.upf
Zr 91.22 Zr.upf
Br 79.90 Br.upf
CELL_PARAMETERS angstrom
-2.7691 -5.0791 -2.9141
0.3726 -5.7529 -2.8599
-0.6580 -2.0703 2.3682
ATOMIC_POSITIONS crystal
Os 0.6930 0.6930 0.3070
Zr 0.3174 0.3174 0.6826
Br 0.9896 0.9896 0.0104
! **Calculated total energy**: -7.104 eV/atom
! **Energy relative to the elements, uncorrected**: 0.1 eV per formula unit
! **Energy relative to the lowest polymorph listed for this composition**: 106 meV/atom
! **Fermi-level density of states**: 0.86 states/eV/f.u.



Record 4
! PBE Zr3OsBr, optimized geometry; values from VASP
&SYSTEM
  ibrav = 0, nat = 5, ntyp = 3
/
ATOMIC_SPECIES
Zr 91.22 Zr.upf
Br 79.90 Br.upf
Os 190.23 Os.upf
CELL_PARAMETERS angstrom
5.1242 0.0000 0.0000
0.0000 5.1242 0.0000
0.0000 0.0000 5.1242
ATOMIC_POSITIONS crystal
Zr 0.0000 0.5000 0.0000
Zr 0.5000 0.0000 0.0000
Zr 0.0000 0.0000 0.5000
Br 0.5000 0.5000 0.5000
Os 0.0000 0.0000 0.0000
! **Calculated total energy**: -7.384 eV/atom
! **Energy relative to the elements, uncorrected**: 1.6 eV per formula unit
! **Energy relative to the lowest polymorph listed for this composition**: 0 meV/atom
! **Fermi-level density of states**: 6.58 states/eV/f.u.



Record 5
! PBE ZrOs3Br, optimized geometry; values from VASP
&SYSTEM
  ibrav = 0, nat = 5, ntyp = 3
/
ATOMIC_SPECIES
Os 190.23 Os.upf
Zr 91.22 Zr.upf
Br 79.90 Br.upf
CELL_PARAMETERS angstrom
-4.4339 2.0003 -1.0821
-2.2544 -3.5542 2.6676
0.2990 2.8631 4.0674
ATOMIC_POSITIONS crystal
Os 0.5000 0.0000 0.0000
Os 0.0000 0.0000 0.5000
Os 0.0000 0.5000 0.0000
Zr 0.0000 0.0000 0.0000
Br 0.5000 0.5000 0.5000
! **Calculated total energy**: -6.123 eV/atom
! **Energy relative to the elements, uncorrected**: 13.3 eV per formula unit
! **Energy relative to the lowest polymorph listed for this composition**: 880 meV/atom
! **Fermi-level density of states**: 4.51 states/eV/f.u.



Record 6
! PBE ZrOsBr, optimized geometry; values from VASP
&SYSTEM
  ibrav = 0, nat = 3, ntyp = 3
/
ATOMIC_SPECIES
Os 190.23 Os.upf
Br 79.90 Br.upf
Zr 91.22 Zr.upf
CELL_PARAMETERS angstrom
-2.4085 2.9633 -2.3633
0.1666 -0.0407 -4.4875
-3.5593 -1.3776 -2.3667
ATOMIC_POSITIONS crystal
Os 0.7500 0.7500 0.7500
Br 0.5000 0.5000 0.5000
Zr 0.0000 0.0000 0.0000
! **Calculated total energy**: -6.734 eV/atom
! **Energy relative to the elements, uncorrected**: 1.2 eV per formula unit
! **Energy relative to the lowest polymorph listed for this composition**: 476 meV/atom
! **Fermi-level density of states**: 2.23 states/eV/f.u.



Record 7
! PBE ZrOs3Br, optimized geometry; values from VASP
&SYSTEM
  ibrav = 0, nat = 5, ntyp = 3
/
ATOMIC_SPECIES
Zr 91.22 Zr.upf
Os 190.23 Os.upf
Br 79.90 Br.upf
CELL_PARAMETERS angstrom
4.5635 0.0000 0.0000
0.0000 4.5635 0.0000
0.0000 0.0000 4.5635
ATOMIC_POSITIONS crystal
Zr 0.5000 0.5000 0.5000
Os 0.0000 0.0000 0.5000
Os 0.0000 0.5000 0.0000
Os 0.5000 0.0000 0.0000
Br 0.0000 0.0000 0.0000
! **Calculated total energy**: -7.003 eV/atom
! **Energy relative to the elements, uncorrected**: 8.9 eV per formula unit
! **Energy relative to the lowest polymorph listed for this composition**: 0 meV/atom
! **Fermi-level density of states**: 6.35 states/eV/f.u.



Record 8
! PBE ZrOsBr, optimized geometry; values from VASP
&SYSTEM
  ibrav = 0, nat = 3, ntyp = 3
/
ATOMIC_SPECIES
Os 190.23 Os.upf
Zr 91.22 Zr.upf
Br 79.90 Br.upf
CELL_PARAMETERS angstrom
-3.8242 2.2610 0.0388
0.7915 -3.0794 3.1031
1.3230 2.2060 1.8516
ATOMIC_POSITIONS crystal
Os 0.6667 0.3333 0.1662
Zr 0.3333 0.6667 0.6665
Br 0.0000 0.0000 0.1673
! **Calculated total energy**: -6.911 eV/atom
! **Energy relative to the elements, uncorrected**: 0.7 eV per formula unit
! **Energy relative to the lowest polymorph listed for this composition**: 299 meV/atom
! **Fermi-level density of states**: 1.51 states/eV/f.u.



Record 9
! PBE ZrOsBr, optimized geometry; values from VASP
&SYSTEM
  ibrav = 0, nat = 3, ntyp = 3
/
ATOMIC_SPECIES
Zr 91.22 Zr.upf
Os 190.23 Os.upf
Br 79.90 Br.upf
CELL_PARAMETERS angstrom
3.4027 0.0000 0.0000
-1.7014 2.9469 0.0000
0.0000 0.0000 6.6836
ATOMIC_POSITIONS crystal
Zr 0.3333 0.6667 0.6476
Os 0.6667 0.3333 0.3928
Br 0.0000 0.0000 0.9596
! **Calculated total energy**: -7.210 eV/atom
! **Energy relative to the elements, uncorrected**: -0.2 eV per formula unit
! **Energy relative to the lowest polymorph listed for this composition**: 0 meV/atom
! **Fermi-level density of states**: 0.68 states/eV/f.u.



Record 10
! PBE ZrOsBr, optimized geometry; values from VASP
&SYSTEM
  ibrav = 0, nat = 3, ntyp = 3
/
ATOMIC_SPECIES
Os 190.23 Os.upf
Br 79.90 Br.upf
Zr 91.22 Zr.upf
CELL_PARAMETERS angstrom
4.5627 0.0000 0.0000
2.2813 3.9514 0.0000
2.2813 1.3171 3.7254
ATOMIC_POSITIONS crystal
Os 0.5000 0.5000 0.5000
Br 0.0000 0.0000 0.0000
Zr 0.7500 0.7500 0.7500
! **Calculated total energy**: -6.488 eV/atom
! **Energy relative to the elements, uncorrected**: 2.0 eV per formula unit
! **Energy relative to the lowest polymorph listed for this composition**: 722 meV/atom
! **Fermi-level density of states**: 2.95 states/eV/f.u.



Record 11
! PBE P5Br, optimized geometry; values from VASP
&SYSTEM
  ibrav = 0, nat = 6, ntyp = 2
/
ATOMIC_SPECIES
P 30.97 P.upf
Br 79.90 Br.upf
CELL_PARAMETERS angstrom
3.4762 4.4091 -4.1935
-5.8666 -0.9452 3.7148
1.9392 1.8257 3.5271
ATOMIC_POSITIONS crystal
P 0.3630 0.6370 0.5000
P 0.7744 0.2256 0.5000
P 0.1861 0.8139 0.5000
P 0.7149 0.2851 0.0000
P 0.2860 0.7140 0.0000
Br 0.0089 0.9911 0.0000
! **Calculated total energy**: -4.456 eV/atom
! **Energy relative to the elements, uncorrected**: 2.0 eV per formula unit
! **Energy relative to the lowest polymorph listed for this composition**: 150 meV/atom
! **Fermi-level density of states**: 1.91 states/eV/f.u.



Record 12
! PBE PBr3, optimized geometry; values from VASP
&SYSTEM
  ibrav = 0, nat = 4, ntyp = 2
/
ATOMIC_SPECIES
Br 79.90 Br.upf
P 30.97 P.upf
CELL_PARAMETERS angstrom
4.1682 0.0210 -0.0125
2.7274 3.1520 -0.0125
1.9916 0.9164 8.7058
ATOMIC_POSITIONS crystal
Br 0.3026 0.3026 0.1717
Br 0.6974 0.6974 0.8283
Br 0.5000 0.5000 0.5000
P 0.0000 0.0000 0.0000
! **Calculated total energy**: -2.371 eV/atom
! **Energy relative to the elements, uncorrected**: 0.9 eV per formula unit
! **Fermi-level density of states**: 2.35 states/eV/f.u.



Record 13
! PBE P5Br4, optimized geometry; values from VASP
&SYSTEM
  ibrav = 0, nat = 18, ntyp = 2
/
ATOMIC_SPECIES
Br 79.90 Br.upf
P 30.97 P.upf
CELL_PARAMETERS angstrom
8.3081 0.0000 0.0000
-4.1540 7.1950 0.0000
0.0000 0.0000 6.3351
ATOMIC_POSITIONS crystal
Br 0.3470 0.0000 0.2500
Br 0.0000 0.3470 0.2500
Br 0.0000 0.6530 0.7500
Br 0.6530 0.6530 0.2500
Br 0.0000 0.0000 0.5000
Br 0.3470 0.3470 0.7500
Br 0.0000 0.0000 0.0000
Br 0.6530 0.0000 0.7500
P 0.2694 0.2694 0.2500
P 0.0000 0.7306 0.2500
P 0.2694 0.0000 0.7500
P 0.6667 0.3333 0.0000
P 0.3333 0.6667 0.5000
P 0.7306 0.0000 0.2500
P 0.7306 0.7306 0.7500
P 0.3333 0.6667 0.0000
P 0.0000 0.2694 0.7500
P 0.6667 0.3333 0.5000
! **Calculated total energy**: -2.614 eV/atom
! **Energy relative to the elements, uncorrected**: 10.2 eV per formula unit
! **Fermi-level density of states**: 7.67 states/eV/f.u.



Record 14
! PBE PBr3, optimized geometry; values from VASP
&SYSTEM
  ibrav = 0, nat = 4, ntyp = 2
/
ATOMIC_SPECIES
P 30.97 P.upf
Br 79.90 Br.upf
CELL_PARAMETERS angstrom
3.5828 0.0000 0.0000
0.0000 3.1451 -0.0972
0.0000 0.4187 10.4127
ATOMIC_POSITIONS crystal
P 0.5000 0.2500 0.2500
Br 0.0000 0.2565 0.0765
Br 0.5000 0.7500 0.7500
Br 0.0000 0.2435 0.4235
! **Calculated total energy**: -2.416 eV/atom
! **Energy relative to the elements, uncorrected**: 0.8 eV per formula unit
! **Fermi-level density of states**: 1.89 states/eV/f.u.



Record 15
! PBE P3Br, optimized geometry; values from VASP
&SYSTEM
  ibrav = 0, nat = 4, ntyp = 2
/
ATOMIC_SPECIES
P 30.97 P.upf
Br 79.90 Br.upf
CELL_PARAMETERS angstrom
4.8774 0.0206 0.0822
3.9017 2.9269 0.0822
3.2681 1.0972 6.9547
ATOMIC_POSITIONS crystal
P 0.7989 0.7989 0.5763
P 0.2011 0.2011 0.4237
P 0.5000 0.5000 0.5000
Br 0.0000 0.0000 0.0000
! **Calculated total energy**: -4.056 eV/atom
! **Energy relative to the elements, uncorrected**: 1.7 eV per formula unit
! **Energy relative to the lowest polymorph listed for this composition**: 174 meV/atom
! **Fermi-level density of states**: 2.05 states/eV/f.u.



Record 16
! PBE PBr3, optimized geometry; values from VASP
&SYSTEM
  ibrav = 0, nat = 4, ntyp = 2
/
ATOMIC_SPECIES
Br 79.90 Br.upf
P 30.97 P.upf
CELL_PARAMETERS angstrom
-1.0128 8.1283 -0.0268
-1.8092 7.1165 3.6302
1.8723 7.5715 2.5026
ATOMIC_POSITIONS crystal
Br 0.2696 0.2696 0.2696
Br 0.5000 0.5000 0.5000
Br 0.7304 0.7304 0.7304
P 0.0000 0.0000 0.0000
! **Calculated total energy**: -2.350 eV/atom
! **Energy relative to the elements, uncorrected**: 1.0 eV per formula unit
! **Fermi-level density of states**: 1.36 states/eV/f.u.



Record 17
! PBE P3Br, optimized geometry; values from VASP
&SYSTEM
  ibrav = 0, nat = 4, ntyp = 2
/
ATOMIC_SPECIES
Br 79.90 Br.upf
P 30.97 P.upf
CELL_PARAMETERS angstrom
-5.4190 0.3128 1.1457
-0.9217 -5.2502 1.5369
2.8911 4.4439 1.6339
ATOMIC_POSITIONS crystal
Br 0.0393 0.0000 0.0393
P 0.7690 0.1320 0.6371
P 0.5051 0.8680 0.6371
P 0.5199 0.5000 0.0199
! **Calculated total energy**: -3.982 eV/atom
! **Energy relative to the elements, uncorrected**: 2.0 eV per formula unit
! **Energy relative to the lowest polymorph listed for this composition**: 248 meV/atom
! **Fermi-level density of states**: 1.95 states/eV/f.u.



Record 18
! PBE PBr3, optimized geometry; values from VASP
&SYSTEM
  ibrav = 0, nat = 8, ntyp = 2
/
ATOMIC_SPECIES
Br 79.90 Br.upf
P 30.97 P.upf
CELL_PARAMETERS angstrom
2.0717 -13.7259 9.0676
-3.5051 -13.1464 9.4763
0.3843 11.8629 -11.5774
ATOMIC_POSITIONS crystal
Br 0.7500 0.2500 0.5000
Br 0.2500 0.7500 0.5000
Br 0.8752 0.8752 0.0000
Br 0.0000 0.5000 0.5000
Br 0.5000 0.0000 0.5000
Br 0.1248 0.1248 0.0000
P 0.6248 0.6248 0.0000
P 0.3752 0.3752 0.0000
! **Calculated total energy**: -2.031 eV/atom
! **Energy relative to the elements, uncorrected**: 2.3 eV per formula unit
! **Fermi-level density of states**: 1.62 states/eV/f.u.



Record 19
! PBE P3Br2, optimized geometry; values from VASP
&SYSTEM
  ibrav = 0, nat = 10, ntyp = 2
/
ATOMIC_SPECIES
P 30.97 P.upf
Br 79.90 Br.upf
CELL_PARAMETERS angstrom
0.0000 4.8895 6.2710
5.2014 0.0000 6.2710
5.2014 4.8895 0.0000
ATOMIC_POSITIONS crystal
P 0.8685 0.5222 0.8084
P 0.7278 0.3815 0.4492
P 0.8008 0.8084 0.5222
P 0.4416 0.4492 0.3815
P 0.0165 0.4835 0.4835
P 0.7665 0.2335 0.2335
Br 0.1039 0.5079 0.9279
Br 0.7421 0.1461 0.7897
Br 0.3221 0.7897 0.1461
Br 0.4603 0.9279 0.5079
! **Calculated total energy**: -3.844 eV/atom
! **Energy relative to the elements, uncorrected**: 0.4 eV per formula unit
! **Energy relative to the lowest polymorph listed for this composition**: 0 meV/atom
! **Fermi-level density of states**: 1.26 states/eV/f.u.



Record 20
! PBE PBr5, optimized geometry; values from VASP
&SYSTEM
  ibrav = 0, nat = 12, ntyp = 2
/
ATOMIC_SPECIES
Br 79.90 Br.upf
P 30.97 P.upf
CELL_PARAMETERS angstrom
8.5102 0.0000 0.0000
-4.2551 7.3701 0.0000
0.0000 0.0000 8.2291
ATOMIC_POSITIONS crystal
Br 0.8184 0.1816 0.7500
Br 0.6667 0.3333 0.4627
Br 0.8184 0.6367 0.7500
Br 0.3633 0.1816 0.7500
Br 0.3333 0.6667 0.9627
Br 0.1816 0.8184 0.2500
Br 0.6667 0.3333 0.0373
Br 0.1816 0.3633 0.2500
Br 0.6367 0.8184 0.2500
Br 0.3333 0.6667 0.5373
P 0.6667 0.3333 0.7500
P 0.3333 0.6667 0.2500
! **Calculated total energy**: -2.450 eV/atom
! **Energy relative to the elements, uncorrected**: -0.9 eV per formula unit
! **Energy relative to the lowest polymorph listed for this composition**: 153 meV/atom